Entry 1:
Ta3ZnB2 | PBE-GGA | relaxed

Output
Spin magnetization, Bohr magnetons per cell: 0.04
Calculated total energy, eV/atom: -8.76

```
12
Lattice="3.2517 0.0000 0.0000 -1.6259 2.8161 0.0000 0.0000 0.0000 18.7117" Properties=species:S:1:pos:R:3 pbc="T T T"
Ta 0.0000 1.8774 16.1872
Ta 1.6259 0.9387 6.8314
Ta 0.0000 0.0000 0.0000
Ta 0.0000 0.0000 9.3558
Ta 1.6259 0.9387 2.5245
Ta 0.0000 1.8774 11.8803
Zn 0.0000 0.0000 14.0338
Zn 0.0000 0.0000 4.6779
B 1.6259 0.9387 17.3536
B 1.6259 0.9387 10.7139
B 0.0000 1.8774 7.9978
B 0.0000 1.8774 1.3581
```



Entry 2:
TbGePt2 | PBE-GGA | relaxed

Output
Spin magnetization, Bohr magnetons per cell: 0.03
Calculated total energy, eV/atom: -6.14

```
8
Lattice="-2.9794 -1.1804 2.5839 3.9087 -2.4228 3.4002 0.6717 6.0485 3.5377" Properties=species:S:1:pos:R:3 pbc="T T T"
Tb 2.8653 0.2989 3.4404
Tb 1.8105 4.1851 3.9995
Ge 2.2474 1.7096 6.6518
Ge -0.6947 0.3009 2.6157
Pt 0.6274 1.6371 4.7507
Pt 0.7016 -1.6413 3.3384
Pt 0.8763 2.1558 1.9953
Pt 3.9292 3.4960 6.1276
```



Entry 3:
MgScAsOs | PBE-GGA | relaxed

Output
Spin magnetization, Bohr magnetons per cell: 0.00
Distance to the lowest polymorph of the same formula, meV/atom: 8
Calculated total energy, eV/atom: -6.09

```
4
Lattice="0.0000 3.1995 3.1995 3.1995 0.0000 3.1995 3.1995 3.1995 0.0000" Properties=species:S:1:pos:R:3 pbc="T T T"
Mg 4.7992 4.7992 4.7992
Sc 0.0000 0.0000 0.0000
Os 3.1995 3.1995 3.1995
As 1.5997 1.5997 1.5997
```



Entry 4:
TaGaAg | PBE-GGA | relaxed

Output
Spin magnetization, Bohr magnetons per cell: 0.01
Calculated total energy, eV/atom: -5.20

```
3
Lattice="0.0000 3.1411 3.1411 3.1411 0.0000 3.1411 3.1411 3.1411 0.0000" Properties=species:S:1:pos:R:3 pbc="T T T"
Ta 0.0000 0.0000 0.0000
Ag 1.5706 1.5706 1.5706
Ga 4.7117 4.7117 4.7117
```